1.
# V2MoS4

A geometry-optimized V2MoS4 structure (PBE-GGA, Alexandria via LeMat-Bulk).

Summary:
final energy: -6.54 eV/atom
energy relative to the elements, uncorrected: -0.02 eV/atom
E above lowest polymorph: 0.857 eV/atom
space group: No. 139
density of states at the Fermi level: 8.4 states/eV/cell
M_tot: 0.6040 μB/atom

CIF file:
```
data_V2MoS4
_cell_length_a 6.778
_cell_length_b 6.778
_cell_length_c 6.778
_cell_angle_alpha 138.82
_cell_angle_beta 138.82
_cell_angle_gamma 59.65
_symmetry_space_group_name_H-M 'P 1'
_symmetry_Int_Tables_number 1
loop_
_symmetry_equiv_pos_as_xyz
'x,y,z'
loop_
_atom_site_label
_atom_site_fract_x
_atom_site_fract_y
_atom_site_fract_z
V1 0.111 0.111 0.000
V2 0.889 0.889 0.000
Mo1 0.500 0.500 0.000
S1 0.000 0.500 0.500
S2 0.297 0.297 0.000
S3 0.500 0.000 0.500
S4 0.703 0.703 0.000
```


2.
# V2Zn2P

A geometry-optimized V2Zn2P structure (PBE-GGA, Alexandria via LeMat-Bulk).

Summary:
final energy: -5.41 eV/atom
space group: No. 127
density of states at the Fermi level: 7.7 states/eV/cell
energy of formation: -16.70 kJ/mol of atoms
M_tot: 0.0004 μB/atom

CIF file:
```
data_V2Zn2P
_cell_length_a 5.992
_cell_length_b 5.992
_cell_length_c 4.128
_cell_angle_alpha 90.00
_cell_angle_beta 90.00
_cell_angle_gamma 90.00
_symmetry_space_group_name_H-M 'P 1'
_symmetry_Int_Tables_number 1
loop_
_symmetry_equiv_pos_as_xyz
'x,y,z'
loop_
_atom_site_label
_atom_site_fract_x
_atom_site_fract_y
_atom_site_fract_z
V1 0.154 0.346 0.000
V2 0.346 0.846 0.000
V3 0.654 0.154 0.000
V4 0.846 0.654 0.000
Zn1 0.151 0.651 0.500
Zn2 0.349 0.151 0.500
Zn3 0.651 0.849 0.500
Zn4 0.849 0.349 0.500
P1 0.000 0.000 0.000
P2 0.500 0.500 0.000
```